# ZnSnClF2, optimized geometry, DFT PBE
data_ZnSnClF2
_cell_length_a 5.267
_cell_length_b 5.267
_cell_length_c 4.164
_cell_angle_alpha 90.00
_cell_angle_beta 90.00
_cell_angle_gamma 90.00
_symmetry_space_group_name_H-M 'P 4/m m m'
_symmetry_Int_Tables_number 123
_symmetry_space_group_name_Hall '-P 4 2'
loop_
_atom_site_label
_atom_site_fract_x
_atom_site_fract_y
_atom_site_fract_z
_atom_site_occupancy
Zn1 0.000 0.000 0.000 1
Sn1 0.500 0.500 0.000 1
Cl1 0.000 0.000 0.500 1
F1 0.000 0.500 0.500 1
# Formation energy without anion corrections (meV per atom): -415